First-principles (PBE) data for a relaxed structure of Pr2TmZr, as listed in Alexandria via LeMat-Bulk.

Cell: 12.359 12.359 12.359 Å, 15.90 15.90 15.90°
Sites, in units of the cell vectors:
Pr 0.086 0.086 0.086
Pr 0.914 0.914 0.914
Tm 0.500 0.500 0.500
Zr 0.000 0.000 0.000

Density, g/cm³: 7.29
ΔE_f, eV/atom: 0.316
E above lowest polymorph, eV/atom: 0.185